Entry from the Alexandria database: a geometry-optimized Na4HgBi2 structure (PBE).

Properties
The value obtained for the formation energy is -249 meV per atom. The uncorrected energy comes out at -2.154 eV per atom.

Unit cell a=6.7582 b=8.0266 c=8.6918 alpha=86.30 beta=89.99 gamma=65.12
Positions (direct):
1 Na 0.0000 0.0000 0.0000
2 Na 0.0043 0.0114 0.4696
3 Na 0.2511 0.5171 0.9842
4 Na 0.5000 0.0108 0.4684
5 Na 0.5154 0.9998 0.0005
6 Na 0.5488 0.4151 0.6037
7 Na 0.7472 0.5167 0.9840
8 Na 0.9648 0.5859 0.3953
9 Hg 0.1392 0.2357 0.2130
10 Hg 0.6172 0.2800 0.2412
11 Bi 0.1189 0.2784 0.7265
12 Bi 0.3537 0.8096 0.7430
13 Bi 0.3981 0.7189 0.2626
14 Bi 0.8774 0.7605 0.7301

---

Entry from the Alexandria database: a geometry-optimized Na3HgBi2 structure (PBE).

Properties
The value obtained for the formation energy is -283 meV per atom. The uncorrected energy comes out at -2.286 eV per atom.

Unit cell a=7.2196 b=9.0780 c=11.2644 alpha=90.00 beta=109.90 gamma=90.00
Positions (direct):
1 Na 0.0750 0.0992 0.3957
2 Na 0.0750 0.4008 0.8957
3 Na 0.1994 0.5713 0.6524
4 Na 0.1994 0.9287 0.1524
5 Na 0.3020 0.0603 0.8501
6 Na 0.3020 0.4397 0.3501
7 Na 0.6980 0.5603 0.6499
8 Na 0.6980 0.9397 0.1499
9 Na 0.8006 0.0713 0.8476
10 Na 0.8006 0.4287 0.3476
11 Na 0.9250 0.5992 0.1043
12 Na 0.9250 0.9008 0.6043
13 Hg 0.4295 0.6149 0.0989
14 Hg 0.4295 0.8851 0.5989
15 Hg 0.5705 0.1149 0.4011
16 Hg 0.5705 0.3851 0.9011
17 Bi 0.0540 0.7479 0.3802
18 Bi 0.0540 0.7521 0.8802
19 Bi 0.4273 0.2447 0.6270
20 Bi 0.4273 0.2553 0.1270
21 Bi 0.5727 0.7447 0.8730
22 Bi 0.5727 0.7553 0.3730
23 Bi 0.9460 0.2479 0.1198
24 Bi 0.9460 0.2521 0.6198

---

Entry from the Alexandria database: a geometry-optimized NaHg5Bi2 structure (PBE).

Properties
The value obtained for the formation energy is -61 meV per atom. The uncorrected energy comes out at -1.385 eV per atom.

Unit cell a=20.0432 b=4.6929 c=4.7449 alpha=90.00 beta=100.12 gamma=90.00
Positions (direct):
1 Na 0.0000 0.0000 0.0000
2 Na 0.5000 0.5000 0.0000
3 Hg 0.0000 0.5000 0.5000
4 Hg 0.1144 0.0000 0.6145
5 Hg 0.1158 0.5000 0.1015
6 Hg 0.3842 0.0000 0.8985
7 Hg 0.3856 0.5000 0.3855
8 Hg 0.5000 0.0000 0.5000
9 Hg 0.6144 0.5000 0.6145
10 Hg 0.6158 0.0000 0.1015
11 Hg 0.8842 0.5000 0.8985
12 Hg 0.8856 0.0000 0.3855
13 Bi 0.2425 0.0000 0.2574
14 Bi 0.2575 0.5000 0.7426
15 Bi 0.7425 0.5000 0.2574
16 Bi 0.7575 0.0000 0.7426

---

Entry from the Alexandria database: a geometry-optimized Na3Hg8Bi structure (PBE).

Properties
The value obtained for the formation energy is -159 meV per atom. The uncorrected energy comes out at -1.013 eV per atom.

Unit cell a=7.9315 b=7.9315 c=5.8353 alpha=111.46 beta=111.46 gamma=88.29
Positions (direct):
1 Na 0.0000 0.0000 0.0000
2 Na 0.2535 0.7471 0.4235
3 Na 0.7471 0.2535 0.4235
4 Hg 0.0787 0.5873 0.7425
5 Hg 0.1627 0.1627 0.6767
6 Hg 0.3298 0.3298 0.3798
7 Hg 0.4128 0.9222 0.0764
8 Hg 0.5873 0.0787 0.7425
9 Hg 0.6704 0.6704 0.7202
10 Hg 0.8371 0.8371 0.3513
11 Hg 0.9222 0.4128 0.0764
12 Bi 0.5001 0.5001 0.0766

---

Q: Which value of uncorrected energy does entry 3 give?
A: -1.385 eV per atom

---

Q: Which of these has the lowest uncorrected energy?
A: Na3HgBi2

---

Q: What is the uncorrected energy in the second record?
A: -2.286 eV per atom

---

Q: Which of these has the lowest uncorrected energy?
A: Na3HgBi2